Computed, not measured: a relaxed structure of GaAuC at the PBE-GGA level of DFT.

Unit cell a=4.6128 b=4.7905 c=4.7882 alpha=102.72 beta=87.19 gamma=87.15
With the nearest neighbours (Å) after each atom.
Sites, in units of the cell vectors:
C1 0.5637 0.9669 0.2005  1 C 1.30
C2 0.3251 0.0982 0.3303  1 C 1.30
Au1 0.9436 0.8259 0.4726  2 C 2.39-2.40, 2 Ga 2.58
Au2 0.9453 0.2393 0.0582  2 C 2.39-2.40, 2 Ga 2.58
Ga1 0.6690 0.6332 0.8666  1 C 2.02
Ga2 0.2199 0.4321 0.6641  1 C 2.02

Energy of formation = 515 meV per atom
Size of the total moment = 0.0 μB/f.u.
Uncorrected energy = -4.662 eV/atom
DOS(E_F) = 0.094 states/eV per atom
Space group = No. 2
Mass density = 9.00 g/cm3